Entry 1:
The following is a DFT calculation (meta-GGA SCAN) of a crystal of SrIn2Ni relaxed with PBEsol.

Calculated values
**Calculated total energy**: -105.561 eV for the cell shown
**Calculated formation energy**: -0.0849 eV per atom
**Total magnetic moment**: 0.00 μB per cell

a b c (Å): 3.890 4.364 6.209
angles (deg): 90.00 108.35 90.00
Atoms (fractional coordinates):
In (0.988, 0.000, 0.102)
Ni (0.664, 0.000, 0.452)
Sr (0.287, 0.500, 0.698)
In (0.561, 0.500, 0.248)



Entry 2:
The following is a DFT calculation (meta-GGA SCAN) of a crystal of SrInNi3 relaxed with PBEsol.

Calculated values
**Calculated total energy**: -95.738 eV for the cell shown
**Calculated formation energy**: 1.6887 eV per atom
**Total magnetic moment**: 0.00 μB per cell

a b c (Å): 4.656 4.656 4.656
angles (deg): 90.00 90.00 90.00
Atoms (fractional coordinates):
Sr (0.000, 0.000, 0.000)
Ni (0.500, 0.000, 0.000)
Ni (0.000, 0.000, 0.500)
Ni (0.000, 0.500, 0.000)
In (0.500, 0.500, 0.500)